No. 1
Crystalline Pm5Te3 at its relaxed geometry. Source: Alexandria via LeMat-Bulk, functional PBE-GGA.

a = 9.2785 Å, b = 9.2785 Å, c = 6.3201 Å
α = 90.00°, β = 90.00°, γ = 120.00°
With the nearest neighbours (Å) after each atom.
Fractional coordinates of all 16 atoms:
Pm  0.0000  0.2574  0.2500  5 Te 3.14-3.37
Pm  0.0000  0.7426  0.7500  5 Te 3.14-3.37
Pm  0.2574  0.0000  0.2500  5 Te 3.14-3.37
Pm  0.2574  0.2574  0.7500  5 Te 3.14-3.37
Pm  0.3333  0.6667  0.0000  2 Pm 3.16, 6 Te 3.29
Pm  0.3333  0.6667  0.5000  2 Pm 3.16, 6 Te 3.29
Pm  0.6667  0.3333  0.0000  2 Pm 3.16, 6 Te 3.29
Pm  0.6667  0.3333  0.5000  2 Pm 3.16, 6 Te 3.29
Pm  0.7426  0.0000  0.7500  5 Te 3.14-3.37
Pm  0.7426  0.7426  0.2500  5 Te 3.14-3.37
Te  0.0000  0.3838  0.7500  9 Pm 3.14-3.37
Te  0.0000  0.6162  0.2500  9 Pm 3.14-3.37
Te  0.3838  0.0000  0.7500  9 Pm 3.14-3.37
Te  0.3838  0.3838  0.2500  9 Pm 3.14-3.37
Te  0.6162  0.0000  0.2500  9 Pm 3.14-3.37
Te  0.6162  0.6162  0.7500  9 Pm 3.14-3.37

Properties
- Density of states at the Fermi level: 0.4123 states/eV/atom
- Space group: P6_3/mcm
- Magnetic moment: 0.000 Bohr magnetons per cell
- E_form (uncorrected): -1.055 eV/atom


No. 2
Crystalline Pm3ThTe4 at its relaxed geometry. Source: Alexandria via LeMat-Bulk, functional PBE-GGA.

a = 7.7405 Å, b = 7.7405 Å, c = 4.4584 Å
α = 90.00°, β = 90.00°, γ = 109.47°
With the nearest neighbours (Å) after each atom.
Fractional coordinates of all 8 atoms:
Pm  0.0000  0.0000  0.0000  6 Te 3.14-3.15
Pm  0.0000  0.5000  0.5000  6 Te 3.16
Pm  0.5000  0.0000  0.5000  6 Te 3.16
Th  0.5000  0.5000  0.0000  6 Te 3.17
Te  0.2480  0.2480  0.5000  4 Pm 3.14-3.16, 2 Th 3.17
Te  0.2493  0.7507  0.0000  5 Pm 3.15-3.16, 1 Th 3.17
Te  0.7507  0.2493  0.0000  5 Pm 3.15-3.16, 1 Th 3.17
Te  0.7520  0.7520  0.5000  4 Pm 3.14-3.16, 2 Th 3.17

Properties
- Density of states at the Fermi level: 0.6854 states/eV/atom
- Space group: Cmmm
- Energy relative to the lowest polymorph listed for this composition: 0 meV per atom
- Magnetic moment: 0.000 Bohr magnetons per cell
- E_form (uncorrected): -1.301 eV/atom


No. 3
Crystalline Pm5ThTe6 at its relaxed geometry. Source: Alexandria via LeMat-Bulk, functional PBE-GGA.

a = 7.7438 Å, b = 7.7438 Å, c = 7.7504 Å
α = 99.64°, β = 99.64°, γ = 120.28°
With the nearest neighbours (Å) after each atom.
Fractional coordinates of all 12 atoms:
Pm  0.0000  0.0000  0.0000  6 Te 3.15-3.16
Pm  0.1670  0.8330  0.5000  6 Te 3.15-3.17
Pm  0.3312  0.6688  0.0000  6 Te 3.13-3.17
Pm  0.6688  0.3312  0.0000  6 Te 3.13-3.17
Pm  0.8330  0.1670  0.5000  6 Te 3.15-3.17
Th  0.5000  0.5000  0.5000  6 Te 3.16-3.17
Te  0.0829  0.4165  0.2498  5 Pm 3.13-3.16, 1 Th 3.16
Te  0.2503  0.2503  0.7519  5 Pm 3.15-3.17, 1 Th 3.17
Te  0.4165  0.0829  0.2498  5 Pm 3.13-3.16, 1 Th 3.16
Te  0.5835  0.9171  0.7502  5 Pm 3.13-3.16, 1 Th 3.16
Te  0.7497  0.7497  0.2481  5 Pm 3.15-3.17, 1 Th 3.17
Te  0.9171  0.5835  0.7502  5 Pm 3.13-3.16, 1 Th 3.16

Properties
- Density of states at the Fermi level: 0.5373 states/eV/atom
- Space group: C2/m
- Magnetic moment: 0.000 Bohr magnetons per cell
- E_form (uncorrected): -1.337 eV/atom


No. 4
Crystalline Pm4ThTe5 at its relaxed geometry. Source: Alexandria via LeMat-Bulk, functional PBE-GGA.

a = 11.8950 Å, b = 11.8950 Å, c = 11.8950 Å
α = 158.51°, β = 149.20°, γ = 37.87°
With the nearest neighbours (Å) after each atom.
Fractional coordinates of all 10 atoms:
Pm  0.0991  0.0991  0.0000  6 Te 3.14-3.18
Pm  0.3012  0.3012  0.0000  6 Te 3.13-3.17
Pm  0.6988  0.6988  0.0000  6 Te 3.13-3.17
Pm  0.9009  0.9009  0.0000  6 Te 3.14-3.18
Th  0.5000  0.5000  0.0000  6 Te 3.16-3.17
Te  0.0000  0.5000  0.5000  4 Pm 3.14, 2 Th 3.16
Te  0.2003  0.7003  0.5000  6 Pm 3.16-3.18
Te  0.3992  0.8992  0.5000  4 Pm 3.13-3.16, 2 Th 3.17
Te  0.6008  0.1008  0.5000  4 Pm 3.13-3.16, 2 Th 3.17
Te  0.7997  0.2997  0.5000  6 Pm 3.16-3.18

Properties
- Density of states at the Fermi level: 0.8217 states/eV/atom
- Space group: Immm
- Energy relative to the lowest polymorph listed for this composition: 3 meV per atom
- Magnetic moment: 0.000 Bohr magnetons per cell
- E_form (uncorrected): -1.318 eV/atom


No. 5
Crystalline Pm2ThTe5 at its relaxed geometry. Source: Alexandria via LeMat-Bulk, functional PBE-GGA.

a = 8.0137 Å, b = 8.0137 Å, c = 15.0719 Å
α = 90.00°, β = 90.00°, γ = 134.53°
With the nearest neighbours (Å) after each atom.
Fractional coordinates of all 16 atoms:
Pm  0.1485  0.8515  0.5532  6 Te 3.07-3.30
Pm  0.1485  0.8515  0.9468  6 Te 3.07-3.30
Pm  0.8515  0.1485  0.0532  6 Te 3.07-3.30
Pm  0.8515  0.1485  0.4468  6 Te 3.07-3.30
Th  0.2073  0.7927  0.2500  6 Te 3.04-3.19
Th  0.7927  0.2073  0.7500  6 Te 3.04-3.19
Te  0.0463  0.9537  0.1242  1 Th 3.04, 2 Pm 3.07
Te  0.0463  0.9537  0.3758  1 Th 3.04, 2 Pm 3.07
Te  0.2466  0.7534  0.7500  2 Th 3.17, 2 Pm 3.30
Te  0.3245  0.6755  0.0722  3 Pm 3.14-3.22, 1 Th 3.19
Te  0.3245  0.6755  0.4278  3 Pm 3.14-3.22, 1 Th 3.19
Te  0.6755  0.3245  0.5722  3 Pm 3.14-3.22, 1 Th 3.19
Te  0.6755  0.3245  0.9278  3 Pm 3.14-3.22, 1 Th 3.19
Te  0.7534  0.2466  0.2500  2 Th 3.17, 2 Pm 3.30
Te  0.9537  0.0463  0.6242  1 Th 3.04, 2 Pm 3.07
Te  0.9537  0.0463  0.8758  1 Th 3.04, 2 Pm 3.07

Properties
- Space group: Cmcm
- Energy relative to the lowest polymorph listed for this composition: 0 meV per atom
- Magnetic moment: 0.000 Bohr magnetons per cell
- E_form (uncorrected): -1.274 eV/atom


No. 6
Crystalline Pm3ThTe6 at its relaxed geometry. Source: Alexandria via LeMat-Bulk, functional PBE-GGA.

a = 12.6606 Å, b = 4.4050 Å, c = 13.0277 Å
α = 90.00°, β = 108.34°, γ = 90.00°
With the nearest neighbours (Å) after each atom.
Fractional coordinates of all 20 atoms:
Pm  0.0782  0.2500  0.1639  6 Te 3.13-3.17
Pm  0.1787  0.7500  0.5035  7 Te 3.11-3.38
Pm  0.3451  0.2500  0.9256  6 Te 3.08-3.17
Pm  0.6549  0.7500  0.0744  6 Te 3.08-3.17
Pm  0.8213  0.2500  0.4965  7 Te 3.11-3.38
Pm  0.9218  0.7500  0.8361  6 Te 3.13-3.17
Th  0.4558  0.2500  0.3035  8 Te 3.24-3.36
Th  0.5442  0.7500  0.6965  8 Te 3.24-3.36
Te  0.0144  0.2500  0.3776  4 Pm 3.12-3.28
Te  0.1031  0.2500  0.9304  4 Pm 3.08-3.15
Te  0.2542  0.7500  0.2840  3 Pm 3.17-3.29, 2 Th 3.32
Te  0.3103  0.7500  0.7489  3 Pm 3.11-3.12, 1 Th 3.24
Te  0.3882  0.2500  0.5330  3 Th 3.26-3.36, 2 Pm 3.38
Te  0.4165  0.7500  0.1052  3 Pm 3.13-3.17, 2 Th 3.31
Te  0.5835  0.2500  0.8948  3 Pm 3.13-3.17, 2 Th 3.31
Te  0.6118  0.7500  0.4670  3 Th 3.26-3.36, 2 Pm 3.38
Te  0.6897  0.2500  0.2511  3 Pm 3.11-3.12, 1 Th 3.24
Te  0.7458  0.2500  0.7160  3 Pm 3.17-3.29, 2 Th 3.32
Te  0.8969  0.7500  0.0696  4 Pm 3.08-3.15
Te  0.9856  0.7500  0.6224  4 Pm 3.12-3.28

Properties
- Density of states at the Fermi level: 0.2726 states/eV/atom
- Space group: P2_1/m
- Energy relative to the lowest polymorph listed for this composition: 0 meV per atom
- Magnetic moment: 0.001 Bohr magnetons per cell
- E_form (uncorrected): -1.360 eV/atom